# 1
Below is RuAuF3 after structural relaxation, with properties calculated at the GGA-PBE level.

energy above the lowest structure with this stoichiometry	0.0	meV per atom
M_tot	1.80	μB per cell
uncorrected energy	-4.227	eV/atom
uncorrected formation energy	-0.594	eV/atom
DOS at the Fermi energy	1.102	states/eV/atom
crystal system	cubic

a = 4.2016 Å, b = 4.2016 Å, c = 4.2016 Å
α = 90.00°, β = 90.00°, γ = 90.00°
Space group Pm-3m (No. 221)
Asymmetric unit:
Ru  0.0000  0.0000  0.0000 x1
Au  0.5000  0.5000  0.5000 x1
F  0.0000  0.0000  0.5000 x3


# 2
Below is RuAuSF2 after structural relaxation, with properties calculated at the GGA-PBE level.

M_tot	1.08	μB per cell
uncorrected energy	-4.599	eV/atom
uncorrected formation energy	-0.514	eV/atom
DOS at the Fermi energy	0.826	states/eV/atom
crystal system	tetragonal

a = 3.9916 Å, b = 3.9916 Å, c = 4.8655 Å
α = 90.00°, β = 90.00°, γ = 90.00°
Space group P4/mmm (No. 123)
Asymmetric unit:
Ru  0.0000  0.0000  0.0000 x1
Au  0.5000  0.5000  0.5000 x1
S  0.0000  0.0000  0.5000 x1
F  0.0000  0.5000  0.0000 x2


# 3
Below is TiRu2AuF after structural relaxation, with properties calculated at the GGA-PBE level.

M_tot	2.60	μB per cell
uncorrected energy	-5.326	eV/atom
uncorrected formation energy	0.993	eV/atom
DOS at the Fermi energy	0.825	states/eV/atom
crystal system	tetragonal

a = 4.5584 Å, b = 4.5584 Å, c = 4.9795 Å
α = 90.00°, β = 90.00°, γ = 90.00°
Space group P4/mmm (No. 123)
Asymmetric unit:
Ti  0.0000  0.0000  0.0000 x1
Ru  0.0000  0.5000  0.0000 x2
Au  0.0000  0.0000  0.5000 x1
F  0.5000  0.5000  0.5000 x1


# 4
Below is AuSF3 after structural relaxation, with properties calculated at the GGA-PBE level.

energy above the lowest structure with this stoichiometry	4.6	meV per atom
M_tot	0.00	μB per cell
uncorrected energy	-2.818	eV/atom
uncorrected formation energy	-0.214	eV/atom
DOS at the Fermi energy	0.483	states/eV/atom
crystal system	cubic

a = 4.2339 Å, b = 4.2339 Å, c = 4.2339 Å
α = 90.00°, β = 90.00°, γ = 90.00°
Space group Pm-3m (No. 221)
Asymmetric unit:
Au  0.0000  0.0000  0.0000 x1
S  0.5000  0.5000  0.5000 x1
F  0.0000  0.5000  0.5000 x3


# 5
Below is AuSF3 after structural relaxation, with properties calculated at the GGA-PBE level.

energy above the lowest structure with this stoichiometry	0.0	meV per atom
M_tot	2.81	μB per cell
uncorrected energy	-2.823	eV/atom
uncorrected formation energy	-0.219	eV/atom
DOS at the Fermi energy	0.845	states/eV/atom
crystal system	cubic

a = 4.3781 Å, b = 4.3781 Å, c = 4.3781 Å
α = 90.00°, β = 90.00°, γ = 90.00°
Space group Pm-3m (No. 221)
Asymmetric unit:
Au  0.0000  0.0000  0.0000 x1
S  0.5000  0.5000  0.5000 x1
F  0.0000  0.0000  0.5000 x3


# 6
Below is AuS2F after structural relaxation, with properties calculated at the GGA-PBE level.

energy above the lowest structure with this stoichiometry	717.7	meV per atom
M_tot	0.00	μB per cell
uncorrected energy	-3.077	eV/atom
uncorrected formation energy	0.274	eV/atom
DOS at the Fermi energy	0.934	states/eV/atom
crystal system	cubic

a = 6.1723 Å, b = 6.1723 Å, c = 6.1723 Å
α = 90.00°, β = 90.00°, γ = 90.00°
Space group Fm-3m (No. 225)
Asymmetric unit:
Au  0.0000  0.0000  0.0000 x4
S  0.2500  0.2500  0.2500 x8
F  0.0000  0.0000  0.5000 x4


# 7
Below is AuS2F after structural relaxation, with properties calculated at the GGA-PBE level.

energy above the lowest structure with this stoichiometry	0.0	meV per atom
M_tot	0.00	μB per cell
uncorrected energy	-3.794	eV/atom
uncorrected formation energy	-0.443	eV/atom
crystal system	orthorhombic

a = 7.8423 Å, b = 9.7412 Å, c = 4.8789 Å
α = 90.00°, β = 90.00°, γ = 90.00°
Space group C222_1 (No. 20)
Asymmetric unit:
Au  0.2023  0.0000  0.0000 x4
S  0.1200  0.3772  0.7953 x8
F  0.0000  0.0941  0.2500 x4


# 8
Below is AuSF2 after structural relaxation, with properties calculated at the GGA-PBE level.

energy above the lowest structure with this stoichiometry	452.3	meV per atom
M_tot	0.00	μB per cell
uncorrected energy	-2.978	eV/atom
uncorrected formation energy	-0.192	eV/atom
DOS at the Fermi energy	0.778	states/eV/atom
crystal system	tetragonal

a = 3.7400 Å, b = 3.7400 Å, c = 15.9076 Å
α = 90.00°, β = 90.00°, γ = 90.00°
Space group I-42d (No. 122)
Asymmetric unit:
Au  0.0000  0.0000  0.0000 x4
S  0.0000  0.0000  0.5000 x4
F  0.2220  0.2500  0.6250 x8